Ge3AsI | PBE | relaxed

Lattice parameters (Å, degrees): 5.449 5.449 5.449 90.00 90.00 90.00
Space group Pm-3m (No. 221)
Symmetry-distinct sites (fractional):
Ge (0.000, 0.000, 0.500)
As (0.500, 0.500, 0.500)
I (0.000, 0.000, 0.000)

Values from the calculation:
The formation energy without anion corrections comes out at 1.317 eV per atom. The value obtained for the offset from the most stable computed form is 663 meV per atom.

PaZn2Ni2 | PBE | relaxed

Lattice parameters (Å, degrees): 3.674 3.674 11.760 90.00 90.00 90.00
Space group I4/mmm (No. 139)
Symmetry-distinct sites (fractional):
Pa (0.000, 0.000, 0.000)
Zn (0.000, 0.500, 0.250)
Ni (0.000, 0.000, 0.400)

Values from the calculation:
The formation energy is -1.52 eV/f.u.

YCr2Ir | PBE | relaxed

Lattice parameters (Å, degrees): 4.580 4.580 3.137 90.00 90.00 90.00
Space group P4/mmm (No. 123)
Symmetry-distinct sites (fractional):
Y (0.000, 0.000, 0.000)
Cr (0.000, 0.500, 0.500)
Ir (0.500, 0.500, 0.000)

Values from the calculation:
The formation energy is 1.59 eV/f.u. The value obtained for the offset from the most stable computed form is 313 meV per atom.

| no. | V (A^3/atom) | total energy (hartree per atom) | mass density (g cm⁻³) |
| --- | --- | --- | --- |
| 1 | 32.365 | -0.099 | 4.3 |
| 2 | 15.870 | -0.185 | 10.0 |
| 3 | 16.456 | -0.303 | 9.7 |